Record 1
14
Lattice="2.8741 1.6594 4.7398 -2.8741 1.6594 4.7398 0.0000 -3.3187 4.7398" Properties=species:S:1:pos:R:3 comment="PBE MgAl2O4, relaxed" relative_energy_mev_per_atom=51 raw_formation_energy_kj_per_mol_fu=-1976 pbc="T T T"
Mg 0.0000 0.0000 0.0000
Mg 0.0000 0.0000 5.3604
Al 0.0000 -1.6125 2.3359
Al -1.3965 0.8062 2.3359
Al 1.3964 0.8062 2.3359
Al 0.0000 0.0000 8.7923
O -1.4929 -0.8619 8.1675
O 0.0000 0.0000 3.3947
O 0.0000 -1.7951 6.0620
O -1.5546 0.8975 6.0620
O 1.4929 -0.8619 8.1675
O 0.0000 1.7238 8.1675
O 0.0000 0.0000 10.7027
O 1.5546 0.8975 6.0620

---

Record 2
8
Lattice="4.3273 0.0000 0.0000 0.0000 4.3273 0.0000 0.0000 0.0000 4.3273" Properties=species:S:1:pos:R:3 comment="PBE Mg3AlO4, relaxed" raw_formation_energy_kj_per_mol_fu=-1802 pbc="T T T"
Mg 0.0000 0.0000 2.1637
Mg 0.0000 2.1637 0.0000
Mg 2.1637 0.0000 0.0000
Al 2.1637 2.1637 2.1637
O 0.0000 0.0000 0.0000
O 0.0000 2.1637 2.1637
O 2.1637 0.0000 2.1637
O 2.1637 2.1637 0.0000

---

Copy entry 1 word for word.
14
Lattice="2.8741 1.6594 4.7398 -2.8741 1.6594 4.7398 0.0000 -3.3187 4.7398" Properties=species:S:1:pos:R:3 comment="PBE MgAl2O4, relaxed" relative_energy_mev_per_atom=51 raw_formation_energy_kj_per_mol_fu=-1976 pbc="T T T"
Mg 0.0000 0.0000 0.0000
Mg 0.0000 0.0000 5.3604
Al 0.0000 -1.6125 2.3359
Al -1.3965 0.8062 2.3359
Al 1.3964 0.8062 2.3359
Al 0.0000 0.0000 8.7923
O -1.4929 -0.8619 8.1675
O 0.0000 0.0000 3.3947
O 0.0000 -1.7951 6.0620
O -1.5546 0.8975 6.0620
O 1.4929 -0.8619 8.1675
O 0.0000 1.7238 8.1675
O 0.0000 0.0000 10.7027
O 1.5546 0.8975 6.0620